CePmIr: relaxed, GGA-PBE.

a = 7.3742 Å, b = 8.8096 Å, c = 8.8096 Å
α = 66.14°, β = 65.26°, γ = 65.26°
Last column: nearest neighbours and their distance in Å.
Fractional coordinates of all 18 atoms:
Ir 0.0863 0.1666 0.1667  3 Ce 2.79
Ir 0.7539 0.2495 0.7495  6 Ce 3.06, 3 Pm 3.06-3.07
Ir 0.4197 0.8334 0.8333  3 Ce 2.79
Ir 0.4197 0.3333 0.3334  3 Ce 2.79
Ir 0.7528 0.7505 0.2505  6 Ce 3.06, 3 Pm 3.06-3.07
Ir 0.0863 0.6667 0.6666  3 Ce 2.79
Pm 0.7533 0.9579 0.4579  5 Ir 3.06-3.27, 2 Ce 3.41
Pm 0.7534 0.4576 0.9576  5 Ir 3.07-3.27, 2 Ce 3.41
Pm 0.1686 0.5424 0.0424  5 Ir 3.07-3.27, 2 Ce 3.41
Pm 0.3379 0.7501 0.2501  5 Ir 3.06-3.28, 2 Ce 3.41
Pm 0.1691 0.0421 0.5421  5 Ir 3.06-3.27, 2 Ce 3.41
Pm 0.3382 0.2499 0.7499  5 Ir 3.06-3.28, 2 Ce 3.41
Ce 0.4969 0.6280 0.6284  4 Ir 2.79-3.06
Ce 0.0099 0.5000 0.5000  4 Ir 2.79-3.06
Ce 0.7534 0.3720 0.3716  4 Ir 2.79-3.06
Ce 0.4969 0.1284 0.1280  4 Ir 2.79-3.06
Ce 0.0099 0.0000 0.0000  4 Ir 2.79-3.06
Ce 0.7534 0.8716 0.8720  4 Ir 2.79-3.06

Results
- energy relative to the elements (meV/atom) = -555

=====

Ce3PmIr2: relaxed, GGA-PBE.

a = 4.5694 Å, b = 8.5459 Å, c = 8.5473 Å
α = 117.15°, β = 90.00°, γ = 105.51°
Last column: nearest neighbours and their distance in Å.
Fractional coordinates of all 12 atoms:
Pm 0.8891 0.7782 0.9691  5 Ir 2.91-3.20
Pm 0.1109 0.2218 0.0309  5 Ir 2.91-3.20
Ce 0.0677 0.1354 0.4241  2 Ir 2.89, 4 Ce 3.07-3.22
Ce 0.6245 0.2489 0.7013  4 Ir 2.90-3.17, 2 Ce 3.10
Ce 0.2896 0.5793 0.6299  2 Ir 2.68-2.73
Ce 0.3755 0.7511 0.2987  4 Ir 2.90-3.17, 2 Ce 3.10
Ce 0.9323 0.8646 0.5759  2 Ir 2.89, 4 Ce 3.07-3.22
Ce 0.7104 0.4207 0.3701  2 Ir 2.68-2.73
Ir 0.4781 0.9562 0.8097  4 Ce 2.73-2.96, 1 Ir 2.98
Ir 0.7618 0.5237 0.1156  3 Ce 2.68-2.90, 1 Pm 2.91, 2 Ir 2.92
Ir 0.2382 0.4763 0.8844  3 Ce 2.68-2.90, 1 Pm 2.91, 2 Ir 2.92
Ir 0.5219 0.0438 0.1903  4 Ce 2.73-2.96, 1 Ir 2.98

Results
- energy relative to the elements (meV/atom) = -494

=====

Ce3Pm2Ir4: relaxed, GGA-PBE.

a = 7.2900 Å, b = 7.6846 Å, c = 8.6186 Å
α = 90.00°, β = 115.02°, γ = 90.00°
Last column: nearest neighbours and their distance in Å.
Fractional coordinates of all 18 atoms:
Pm 0.8978 0.4079 0.7955  6 Ir 3.04-3.38
Pm 0.3978 0.0921 0.7955  6 Ir 3.04-3.38
Pm 0.6022 0.9079 0.2045  6 Ir 3.04-3.38
Pm 0.1022 0.5921 0.2045  6 Ir 3.04-3.38
Ir 0.2175 0.7500 0.9350  3 Ce 2.70-2.76
Ir 0.2944 0.4545 0.5887  4 Ce 2.75-2.91
Ir 0.7944 0.0455 0.5887  4 Ce 2.75-2.91
Ir 0.7175 0.7500 0.9350  3 Ce 2.70-2.76
Ir 0.7825 0.2500 0.0650  3 Ce 2.70-2.76
Ir 0.7056 0.5455 0.4113  4 Ce 2.75-2.91
Ir 0.2825 0.2500 0.0650  3 Ce 2.70-2.76
Ir 0.2056 0.9545 0.4113  4 Ce 2.75-2.91
Ce 0.5000 0.5000 0.0000  4 Ir 2.70
Ce 0.4594 0.2500 0.4189  5 Ir 2.75-2.91
Ce 0.9594 0.2500 0.4189  5 Ir 2.75-2.91
Ce 0.5406 0.7500 0.5811  5 Ir 2.75-2.91
Ce 0.0406 0.7500 0.5811  5 Ir 2.75-2.91
Ce 0.0000 0.0000 0.0000  4 Ir 2.70

Results
- energy relative to the elements (meV/atom) = -613

=====

CePmIr2: relaxed, GGA-PBE.

a = 4.9667 Å, b = 4.9667 Å, c = 4.9667 Å
α = 60.00°, β = 60.00°, γ = 60.00°
Last column: nearest neighbours and their distance in Å.
Fractional coordinates of all 4 atoms:
Pm 0.0000 0.0000 0.0000  8 Ir 3.04
Ce 0.5000 0.5000 0.5000  8 Ir 3.04
Ir 0.2500 0.2500 0.2500  4 Ce 3.04, 4 Pm 3.04
Ir 0.7500 0.7500 0.7500  4 Pm 3.04, 4 Ce 3.04

Results
- energy relative to the elements (meV/atom) = -628

=====

CePm3Ir8: relaxed, GGA-PBE.

a = 5.4199 Å, b = 5.4199 Å, c = 9.3763 Å
α = 73.20°, β = 73.20°, γ = 60.00°
Last column: nearest neighbours and their distance in Å.
Fractional coordinates of all 12 atoms:
Pm 0.0003 0.0003 0.9992  12 Ir 3.18-3.19, 3 Pm 3.31, 1 Ce 3.32
Pm 0.3748 0.3748 0.8756  12 Ir 3.18-3.19, 4 Pm 3.31
Pm 0.4997 0.4997 0.5010  12 Ir 3.16-3.18, 1 Pm 3.31, 3 Ce 3.32
Ir 0.9374 0.9374 0.6857  6 Ir 2.70-2.72
Ir 0.4378 0.4378 0.1892  6 Ir 2.70-2.72
Ir 0.4395 0.9374 0.6857  6 Ir 2.70-2.72
Ir 0.4378 0.9352 0.1892  6 Ir 2.70-2.72
Ir 0.9374 0.4395 0.6857  6 Ir 2.70-2.72
Ir 0.9352 0.4378 0.1892  6 Ir 2.70-2.72
Ir 0.1874 0.1874 0.4378  6 Ir 2.70
Ir 0.6875 0.6875 0.9374  6 Ir 2.72
Ce 0.8752 0.8752 0.3745  12 Ir 3.16-3.18, 4 Pm 3.32

Results
- energy relative to the elements (meV/atom) = -738

=====

Ce8PmIr6: relaxed, GGA-PBE.

a = 8.4035 Å, b = 8.4035 Å, c = 7.7759 Å
α = 57.29°, β = 57.29°, γ = 60.00°
Last column: nearest neighbours and their distance in Å.
Fractional coordinates of all 15 atoms:
Ce 0.3321 0.3321 0.0037  6 Ir 2.95-2.96
Ce 0.2159 0.8836 0.3434  5 Ir 2.96-3.11
Ce 0.1164 0.4429 0.6566  5 Ir 2.96-3.11
Ce 0.5571 0.2159 0.3434  5 Ir 2.96-3.11
Ce 0.8836 0.5571 0.3434  5 Ir 2.96-3.11
Ce 0.6679 0.6679 0.9963  6 Ir 2.95-2.96
Ce 0.4429 0.7841 0.6566  5 Ir 2.96-3.11
Ce 0.7841 0.1164 0.6566  5 Ir 2.96-3.11
Pm 0.0000 0.0000 0.0000  6 Ir 3.04
Ir 0.3969 0.0566 0.8312  7 Ce 2.95-3.11, 1 Pm 3.04
Ir 0.9434 0.2848 0.1688  7 Ce 2.95-3.11, 1 Pm 3.04
Ir 0.6031 0.9434 0.1688  7 Ce 2.95-3.11, 1 Pm 3.04
Ir 0.0566 0.7152 0.8312  7 Ce 2.95-3.11, 1 Pm 3.04
Ir 0.7152 0.3969 0.8312  7 Ce 2.95-3.11, 1 Pm 3.04
Ir 0.2848 0.6031 0.1688  7 Ce 2.95-3.11, 1 Pm 3.04

Results
- energy relative to the elements (meV/atom) = -579

=====

Ce2Pm5Ir4: relaxed, GGA-PBE.

a = 3.8346 Å, b = 14.1276 Å, c = 5.9945 Å
α = 76.57°, β = 108.65°, γ = 90.00°
Last column: nearest neighbours and their distance in Å.
Fractional coordinates of all 11 atoms:
Ir 0.9253 0.4280 0.8506  3 Ce 2.81-3.03, 2 Pm 2.86, 2 Ir 2.93-2.95
Ir 0.1563 0.2799 0.3126  2 Ce 2.82, 3 Pm 2.85-3.04, 1 Ir 2.93
Ir 0.8437 0.7201 0.6874  2 Ce 2.82, 3 Pm 2.85-3.04, 1 Ir 2.93
Ir 0.0747 0.5720 0.1494  3 Ce 2.81-3.03, 2 Pm 2.86, 2 Ir 2.93-2.95
Pm 0.5752 0.7224 0.1505  3 Ir 2.86-3.04
Pm 0.2684 0.8722 0.5368  2 Ir 2.85
Pm 0.5000 0.0000 0.0000  10 Pm 3.54-3.83
Pm 0.4248 0.2776 0.8495  3 Ir 2.86-3.04
Pm 0.7316 0.1278 0.4632  2 Ir 2.85
Ce 0.3408 0.5748 0.6815  5 Ir 2.81-3.03
Ce 0.6592 0.4252 0.3185  5 Ir 2.81-3.03

Results
- energy relative to the elements (meV/atom) = -511

=====

Ce2PmIr: relaxed, GGA-PBE.

a = 3.9342 Å, b = 3.9342 Å, c = 9.2599 Å
α = 77.74°, β = 77.74°, γ = 60.00°
Last column: nearest neighbours and their distance in Å.
Fractional coordinates of all 4 atoms:
Ce 0.0606 0.0606 0.8183  3 Ir 2.80
Ce 0.2727 0.2727 0.1820  3 Ir 2.79
Ir 0.6664 0.6664 0.0008  6 Ce 2.79-2.80
Pm 0.5004 0.5004 0.4989  6 Ce 3.64-3.66, 6 Pm 3.93

Results
- energy relative to the elements (meV/atom) = -294

=====

Ce2PmIr: relaxed, GGA-PBE.

a = 3.6923 Å, b = 3.6923 Å, c = 7.7272 Å
α = 90.00°, β = 90.00°, γ = 90.00°
Last column: nearest neighbours and their distance in Å.
Fractional coordinates of all 4 atoms:
Pm 0.5000 0.5000 0.5000  8 Ce 3.55, 4 Pm 3.69, 2 Ir 3.86
Ce 0.0000 0.0000 0.8108  1 Ce 2.92, 4 Ir 2.99
Ce 0.0000 0.0000 0.1892  1 Ce 2.92, 4 Ir 2.99
Ir 0.5000 0.5000 0.0000  8 Ce 2.99

Results
- energy relative to the elements (meV/atom) = -289

=====

CePmIr: relaxed, GGA-PBE.

a = 4.1964 Å, b = 4.8766 Å, c = 7.5264 Å
α = 91.76°, β = 90.00°, γ = 90.01°
Last column: nearest neighbours and their distance in Å.
Fractional coordinates of all 6 atoms:
Ir 0.8136 0.7696 0.1636  3 Ce 2.80-2.86, 3 Pm 2.89-3.04
Ir 0.3136 0.4634 0.6756  3 Ce 2.80-2.86, 3 Pm 2.89-3.04
Pm 0.8137 0.8618 0.5453  3 Ir 2.89-3.04
Pm 0.3135 0.3711 0.2939  3 Ir 2.89-3.04
Ce 0.3136 0.9022 0.9358  3 Ir 2.80-2.86, 2 Ce 2.98
Ce 0.8135 0.3307 0.9034  3 Ir 2.80-2.86, 2 Ce 2.98

Results
- energy relative to the elements (meV/atom) = -527

=====

CePmIr2: relaxed, GGA-PBE.

a = 3.4995 Å, b = 3.4995 Å, c = 7.0748 Å
α = 90.00°, β = 90.00°, γ = 90.00°
Last column: nearest neighbours and their distance in Å.
Fractional coordinates of all 4 atoms:
Ir 0.0000 0.0000 0.2299  4 Ce 2.96, 4 Pm 3.13, 1 Ir 3.25
Ir 0.0000 0.0000 0.7701  4 Ce 2.96, 4 Pm 3.13, 1 Ir 3.25
Ce 0.5000 0.5000 0.0000  8 Ir 2.96
Pm 0.5000 0.5000 0.5000  8 Ir 3.13, 4 Pm 3.50

Results
- energy relative to the elements (meV/atom) = -655

=====

CePm3Ir3: relaxed, GGA-PBE.

a = 7.1966 Å, b = 7.1966 Å, c = 7.0305 Å
α = 81.51°, β = 81.51°, γ = 80.41°
Last column: nearest neighbours and their distance in Å.
Fractional coordinates of all 14 atoms:
Pm 0.2837 0.7163 0.0000  4 Ir 2.93-3.02
Pm 0.7163 0.2837 0.0000  4 Ir 2.93-3.02
Pm 0.1939 0.8061 0.5000  4 Ir 2.88-3.05
Pm 0.8061 0.1939 0.5000  4 Ir 2.88-3.05
Pm 0.2933 0.2933 0.5022  5 Ir 2.97-3.06
Pm 0.7067 0.7067 0.4978  5 Ir 2.97-3.06
Ir 0.5021 0.9959 0.7647  2 Ce 2.73-3.05, 2 Pm 2.93-2.97
Ir 0.0551 0.0551 0.7907  2 Ce 2.72-2.93, 5 Pm 2.88-3.02, 1 Ir 2.96
Ir 0.9449 0.9449 0.2093  2 Ce 2.72-2.93, 5 Pm 2.88-3.02, 1 Ir 2.96
Ir 0.4979 0.0041 0.2353  2 Ce 2.73-3.05, 2 Pm 2.93-2.97
Ir 0.0041 0.4979 0.2353  2 Ce 2.73-3.05, 2 Pm 2.93-2.97
Ir 0.9959 0.5021 0.7647  2 Ce 2.73-3.05, 2 Pm 2.93-2.97
Ce 0.2116 0.2116 0.0466  4 Ir 2.72-2.93
Ce 0.7884 0.7884 0.9534  4 Ir 2.72-2.93

Results
- energy relative to the elements (meV/atom) = -586